The following is a DFT calculation (GGA+U) of a relaxed CaMnZnAs2H3O10 crystal.

Crystal system: triclinic
Uncorrected energy, eV/cell: -214.51

Unit cell a=5.5596 b=10.7518 c=7.5016 alpha=77.12 beta=68.62 gamma=99.61
Closest atoms and distances in Å follow each position.
Fractional positions:
O (0.7015, 0.3786, 0.7472)  1 As 1.76
O (0.4697, 0.1568, 0.6500)  1 As 1.75
Ca (0.5016, 0.5000, 0.9990)  6 O 2.41-2.57
O (0.3746, 0.1292, 0.0338)  1 H 1.50
O (0.0280, 0.3425, 0.3539)  1 As 1.74
O (0.0924, 0.8427, 0.2353)  1 As 1.72
O (0.4108, 0.6571, 0.7639)  1 As 1.72
O (0.8023, 0.1220, 0.2510)  1 As 1.76
O (0.7445, 0.5736, 0.4091)  2 H 1.04-1.06
H (0.3111, 0.1007, 0.2532)  1 O 1.04
Ca (0.0016, 0.0000, 0.9990)  6 O 2.41-2.57
As (0.8826, 0.2952, 0.2008)  4 O 1.69-1.76
Zn (0.7558, 0.7556, 0.5031)  6 O 2.06-2.22
O (0.5924, 0.3427, 0.2353)  1 As 1.72
O (0.1298, 0.3716, 0.9672)  1 H 1.59, 1 As 1.69
As (0.1220, 0.7054, 0.7991)  4 O 1.70-1.76
O (0.5280, 0.8425, 0.3539)  1 As 1.74
H (0.6983, 0.9047, 0.7344)  1 O 1.02
H (0.1982, 0.4047, 0.7344)  1 O 1.02
O (0.9108, 0.1571, 0.7639)  1 As 1.72
Mn (0.0060, 0.4997, 0.5010)  4 O 1.94-2.02
H (0.8111, 0.6007, 0.2532)  1 O 1.04
As (0.6220, 0.2055, 0.7991)  4 O 1.70-1.76
O (0.8746, 0.6292, 0.0337)  1 H 1.50
Zn (0.2558, 0.2556, 0.5031)  6 O 2.06-2.22
O (0.2653, 0.4313, 0.5820)  1 H 1.02
H (0.0437, 0.0133, 0.4801)  1 O 1.06
As (0.3826, 0.7952, 0.2008)  4 O 1.69-1.76
O (0.3023, 0.6220, 0.2510)  1 As 1.76
O (0.2015, 0.8786, 0.7472)  1 As 1.76
O (0.6298, 0.8716, 0.9672)  1 H 1.59, 1 As 1.69
Mn (0.5060, 0.9997, 0.5011)  4 O 1.94-2.02
O (0.9697, 0.6568, 0.6500)  1 As 1.74
H (0.5437, 0.5133, 0.4801)  1 O 1.06
O (0.7653, 0.9312, 0.5820)  1 H 1.02
O (0.2446, 0.0736, 0.4091)  2 H 1.04-1.06